Below is TbTmZnGa after structural relaxation, with properties calculated at the PBE level.

## Properties
E_form: -0.477 eV/atom
VASP energy: -3.8274 eV/atom
mass density: 8.56 g/cm3

abc: 5.026 5.026 5.026
angles: 60.00 60.00 60.00
Fractional coordinates of all 4 atoms:
Zn  0.750  0.750  0.750
Tm  0.000  0.000  0.000
Tb  0.500  0.500  0.500
Ga  0.250  0.250  0.250

=====

Below is HgPd3 after structural relaxation, with properties calculated at the PBE level.

## Properties
E_form: -0.127 eV/atom
VASP energy: -4.0974 eV/atom
mass density: 12.98 g/cm3

abc: 4.063 4.063 4.950
angles: 114.23 114.23 90.00
Fractional coordinates of all 4 atoms:
Hg  0.000  0.000  0.000
Pd  0.250  0.750  0.500
Pd  0.750  0.250  0.500
Pd  0.500  0.500  0.000

=====

Below is Ce4Pa3S8 after structural relaxation, with properties calculated at the PBE level.

## Properties
VASP energy: -7.5114 eV/atom
ΔE_f (raw): -1.83 eV/atom
mass density: 7.26 g/cm3

abc: 7.887 7.878 7.878
angles: 89.98 120.08 120.08
Last column: magnetic moment on the atom in μB.
Fractional coordinates of all 15 atoms:
Ce  0.500  0.000  0.000  0.35
Ce  0.000  0.500  0.000  0.34
Ce  0.000  0.000  0.000  0.61
Ce  0.000  0.000  0.500  0.34
Pa  0.500  0.500  0.000  0.17
Pa  0.500  0.000  0.500  0.17
Pa  0.500  0.500  0.500  0.15
S  0.515  0.260  0.260  -0.01
S  0.000  0.743  0.257  -0.01
S  0.008  0.260  0.260  -0.01
S  0.500  0.748  0.252  -0.01
S  0.500  0.252  0.748  -0.01
S  0.992  0.740  0.740  -0.01
S  0.000  0.257  0.743  -0.01
S  0.485  0.740  0.740  -0.01

=====

Below is Ca3Ac3Pm after structural relaxation, with properties calculated at the PBE level.

## Properties
E_form: 0.037 eV/atom
VASP energy: -3.2604 eV/atom
mass density: 5.34 g/cm3

abc: 6.239 10.433 10.433
angles: 120.00 90.00 90.00
Fractional coordinates of all 14 atoms:
Ca  0.750  0.811  0.755
Ca  0.750  0.945  0.189
Ca  0.250  0.755  0.945
Ca  0.750  0.245  0.055
Ca  0.250  0.055  0.811
Ca  0.250  0.189  0.245
Ac  0.750  0.517  0.899
Ac  0.750  0.382  0.483
Ac  0.250  0.899  0.382
Ac  0.750  0.101  0.618
Ac  0.250  0.618  0.517
Ac  0.250  0.483  0.101
Pm  0.250  0.333  0.667
Pm  0.750  0.667  0.333

=====

Below is Al2PdAu after structural relaxation, with properties calculated at the PBE level.

## Properties
E_form: -0.468 eV/atom
VASP energy: -4.4569 eV/atom
mass density: 8.57 g/cm3

abc: 4.157 4.157 5.212
angles: 66.50 66.50 60.00
Fractional coordinates of all 4 atoms:
Al  0.068  0.068  0.796
Al  0.268  0.268  0.197
Pd  0.681  0.681  0.958
Au  0.483  0.483  0.550

=====

Below is Li2MgBe after structural relaxation, with properties calculated at the PBE level.

## Properties
E_form: 0.192 eV/atom
VASP energy: -2.0947 eV/atom
energy above the lowest structure with this stoichiometry: 39.6 meV per atom
mass density: 1.27 g/cm3

abc: 3.127 3.116 6.354
angles: 90.00 90.00 90.00
Fractional coordinates of all 4 atoms:
Be  0.500  0.500  0.750
Li  0.000  0.000  0.951
Li  0.000  0.000  0.549
Mg  0.500  0.500  0.250

=====

Below is RbTc3Au after structural relaxation, with properties calculated at the PBE level.

## Properties
E_form: 2.118 eV/atom
VASP energy: -4.9506 eV/atom
energy above the lowest structure with this stoichiometry: 0.0 meV per atom
mass density: 6.91 g/cm3

abc: 5.173 5.173 5.173
angles: 90.00 90.00 90.00
Last column: magnetic moment on the atom in μB.
Fractional coordinates of all 5 atoms:
Au  0.000  0.000  0.000  0.25
Tc  0.000  0.500  0.000  2.87
Tc  0.000  0.000  0.500  3.17
Tc  0.500  0.000  0.000  2.23
Rb  0.500  0.500  0.500  0.02

=====

Below is Pr2CuNi3Ge4 after structural relaxation, with properties calculated at the PBE level.

## Properties
E_form: -0.651 eV/atom
VASP energy: -5.5977 eV/atom
mass density: 7.82 g/cm3

abc: 4.201 4.201 9.777
angles: 90.00 90.00 90.00
Fractional coordinates of all 10 atoms:
Pr  0.500  0.000  0.250
Pr  0.000  0.500  0.750
Cu  0.500  0.500  0.500
Ni  0.000  0.000  0.500
Ni  0.500  0.000  0.879
Ni  0.000  0.500  0.121
Ge  0.500  0.500  0.000
Ge  0.000  0.000  0.000
Ge  0.500  0.000  0.633
Ge  0.000  0.500  0.367

=====

Please write out number 2 again, unchanged.
Below is HgPd3 after structural relaxation, with properties calculated at the PBE level.

## Properties
E_form: -0.127 eV/atom
VASP energy: -4.0974 eV/atom
mass density: 12.98 g/cm3

abc: 4.063 4.063 4.950
angles: 114.23 114.23 90.00
Fractional coordinates of all 4 atoms:
Hg  0.000  0.000  0.000
Pd  0.250  0.750  0.500
Pd  0.750  0.250  0.500
Pd  0.500  0.500  0.000

=====

Number 3 is which compound? Ce4Pa3S8

=====

Look up the mass density of the first one. 8.56 g/cm3

=====

mass density of number 6 (Li2MgBe)? 1.27 g/cm3